The following is a PBE-GGA calculation of a geometry-optimized CuSNO2 structure, from Alexandria via LeMat-Bulk.

Calculated values
formation energy (no corrections): 1.230 eV per atom
M_tot: 0.78 μB per formula unit
E: -0.14931 Ha/atom

Cell: 3.7423 3.7423 3.8128 Å, 90.00 90.00 90.00°
Last column: nearest neighbours and their distance in Å.
Space group P4/mmm (No. 123)
One atom of each set of equivalent atoms:
Cu1 0.0000 0.0000 0.0000 x1  4 O 1.87, 2 N 1.91
S1 0.5000 0.5000 0.5000 x1  4 N 2.65, 8 O 2.67
N1 0.0000 0.0000 0.5000 x1  2 Cu 1.91
O1 0.0000 0.5000 0.0000 x2  2 Cu 1.87

The following is a PBE-GGA calculation of a geometry-optimized MgZnSi structure, from Alexandria via LeMat-Bulk.

Calculated values
formation energy (no corrections): 0.112 eV per atom
M_tot: 0.00 μB per formula unit
E: -0.09744 Ha/atom

Cell: 2.9209 4.2604 8.2043 Å, 90.00 90.00 90.00°
Last column: nearest neighbours and their distance in Å.
Space group Pmm2 (No. 25)
One atom of each set of equivalent atoms:
Mg1 0.0000 0.0000 0.0000 x1  6 Zn 2.85-2.98, 3 Mg 2.92-3.00, 4 Si 3.00
Mg2 0.0000 0.0000 0.3651 x1  8 Si 2.84-2.97, 3 Mg 2.92-3.00, 2 Zn 2.99
Zn1 0.5000 0.0000 0.6828 x1  2 Zn 2.55, 2 Si 2.56
Zn2 0.5000 0.5000 0.8534 x1  2 Zn 2.55, 2 Si 2.73-2.82, 4 Mg 2.85
Si1 0.5000 0.5000 0.1858 x1  3 Si 2.65-2.92, 1 Zn 2.73
Si2 0.5000 0.5000 0.5092 x1  3 Zn 2.56-2.82, 1 Si 2.65, 4 Mg 2.84